Record 1
Density functional theory data (meta-GGA SCAN) for MgPb2Br at its PBEsol-relaxed geometry.

## Properties
distance to the lowest polymorph of the same formula = 0 meV per atom
V = 112 Å³/f.u.
formation energy from raw total energies = -0.399 eV/atom
spin magnetization = 0.000 μB per cell

```
data_MgPb2Br
_symmetry_space_group_name_H-M 'P 4 m m'
_symmetry_Int_Tables_number 99
_cell_length_a 3.427
_cell_length_b 3.427
_cell_length_c 9.558
_cell_angle_alpha 90.00
_cell_angle_beta 90.00
_cell_angle_gamma 90.00
loop_
_symmetry_equiv_pos_as_xyz
'x,y,z'
'-y,x,z'
'-x,-y,z'
'y,-x,z'
'-x,y,z'
'y,x,z'
'x,-y,z'
'-y,-x,z'
loop_
_atom_site_label
_atom_site_type_symbol
_atom_site_fract_x
_atom_site_fract_y
_atom_site_fract_z
_atom_site_occupancy
Mg1 Mg 0.000 0.000 0.000 1
Pb1 Pb 0.000 0.000 0.487 1
Pb2 Pb 0.500 0.500 0.236 1
Br1 Br 0.500 0.500 0.842 1
```

---

Record 2
Density functional theory data (meta-GGA SCAN) for NaAg3Sb at its PBEsol-relaxed geometry.

## Properties
V = 111 Å³/f.u.
formation energy from raw total energies = 0.768 eV/atom
spin magnetization = 0.000 μB per cell

```
data_NaAg3Sb
_symmetry_space_group_name_H-M 'P m -3 m'
_symmetry_Int_Tables_number 221
_symmetry_space_group_name_Hall '-P 4 2 3'
_cell_length_a 4.810
_cell_length_b 4.810
_cell_length_c 4.810
_cell_angle_alpha 90.00
_cell_angle_beta 90.00
_cell_angle_gamma 90.00
loop_
_atom_site_label
_atom_site_type_symbol
_atom_site_fract_x
_atom_site_fract_y
_atom_site_fract_z
_atom_site_occupancy
Na1 Na 0.000 0.000 0.000 1
Ag1 Ag 0.000 0.000 0.500 1
Sb1 Sb 0.500 0.500 0.500 1
```

---

Record 3
Density functional theory data (meta-GGA SCAN) for FeRu2 at its PBEsol-relaxed geometry.

## Properties
V = 39 Å³/f.u.
energy relative to the elements = 1.00 eV/f.u.
spin magnetization = 2.723 μB per cell

```
data_FeRu2
_symmetry_space_group_name_H-M 'P 6/m m m'
_symmetry_Int_Tables_number 191
_symmetry_space_group_name_Hall '-P 6 2'
_cell_length_a 4.1850
_cell_length_b 4.1850
_cell_length_c 2.5732
_cell_angle_alpha 90.00
_cell_angle_beta 90.00
_cell_angle_gamma 120.00
loop_
_atom_site_label
_atom_site_type_symbol
_atom_site_fract_x
_atom_site_fract_y
_atom_site_fract_z
_atom_site_occupancy
Fe1 Fe 0.0000 0.0000 0.0000 1
Ru1 Ru 0.3333 0.6667 0.5000 1
```

---

Please write out number 1 again, unchanged.
Density functional theory data (meta-GGA SCAN) for MgPb2Br at its PBEsol-relaxed geometry.

## Properties
distance to the lowest polymorph of the same formula = 0 meV per atom
V = 112 Å³/f.u.
formation energy from raw total energies = -0.399 eV/atom
spin magnetization = 0.000 μB per cell

```
data_MgPb2Br
_symmetry_space_group_name_H-M 'P 4 m m'
_symmetry_Int_Tables_number 99
_cell_length_a 3.427
_cell_length_b 3.427
_cell_length_c 9.558
_cell_angle_alpha 90.00
_cell_angle_beta 90.00
_cell_angle_gamma 90.00
loop_
_symmetry_equiv_pos_as_xyz
'x,y,z'
'-y,x,z'
'-x,-y,z'
'y,-x,z'
'-x,y,z'
'y,x,z'
'x,-y,z'
'-y,-x,z'
loop_
_atom_site_label
_atom_site_type_symbol
_atom_site_fract_x
_atom_site_fract_y
_atom_site_fract_z
_atom_site_occupancy
Mg1 Mg 0.000 0.000 0.000 1
Pb1 Pb 0.000 0.000 0.487 1
Pb2 Pb 0.500 0.500 0.236 1
Br1 Br 0.500 0.500 0.842 1
```